[1]
ErPt3Au: optimized geometry, GGA-PBE.

a b c (Å): 7.041 7.041 9.098
angles (deg): 90.00 90.00 77.01
Atoms (fractional coordinates):
1 Er 0.012 0.988 0.750
2 Er 0.398 0.602 0.250
3 Er 0.602 0.398 0.750
4 Er 0.988 0.012 0.250
5 Pt 0.182 0.563 0.750
6 Pt 0.201 0.799 0.004
7 Pt 0.201 0.799 0.496
8 Pt 0.378 0.378 0.000
9 Pt 0.378 0.378 0.500
10 Pt 0.437 0.818 0.750
11 Pt 0.563 0.182 0.250
12 Pt 0.622 0.622 0.000
13 Pt 0.622 0.622 0.500
14 Pt 0.799 0.201 0.504
15 Pt 0.799 0.201 0.996
16 Pt 0.818 0.437 0.250
17 Au 0.000 0.500 0.000
18 Au 0.000 0.500 0.500
19 Au 0.500 0.000 0.000
20 Au 0.500 0.000 0.500

E above lowest polymorph   0.2324 eV per atom
ΔH_f (0 K)   -0.3470 eV/atom


[2]
Er6PtAu5: optimized geometry, GGA-PBE.

a b c (Å): 7.965 7.965 7.093
angles (deg): 90.00 90.00 143.31
Atoms (fractional coordinates):
1 Er 0.000 0.000 0.243
2 Er 0.000 0.000 0.757
3 Er 0.337 0.663 0.248
4 Er 0.337 0.663 0.752
5 Er 0.663 0.337 0.248
6 Er 0.663 0.337 0.752
7 Pt 0.500 0.500 0.000
8 Au 0.167 0.833 0.500
9 Au 0.171 0.829 0.000
10 Au 0.500 0.500 0.500
11 Au 0.829 0.171 0.000
12 Au 0.833 0.167 0.500

ΔH_f (0 K)   -0.9487 eV/atom


[3]
Er4PtAu: optimized geometry, GGA-PBE.

a b c (Å): 6.993 6.954 6.930
angles (deg): 90.00 92.28 90.00
Atoms (fractional coordinates):
1 Er 0.155 0.160 0.171
2 Er 0.155 0.340 0.671
3 Er 0.335 0.656 0.146
4 Er 0.335 0.844 0.646
5 Er 0.665 0.156 0.354
6 Er 0.665 0.344 0.854
7 Er 0.845 0.660 0.329
8 Er 0.845 0.840 0.829
9 Pt 0.000 0.000 0.500
10 Pt 0.000 0.500 0.000
11 Au 0.500 0.000 0.000
12 Au 0.500 0.500 0.500

ΔH_f (0 K)   -0.6493 eV/atom


[4]
ErPt2Au: optimized geometry, GGA-PBE.

a b c (Å): 4.716 4.716 4.716
angles (deg): 60.00 60.00 60.00
Atoms (fractional coordinates):
1 Er 0.000 0.000 0.000
2 Pt 0.250 0.250 0.250
3 Pt 0.750 0.750 0.750
4 Au 0.500 0.500 0.500

ΔH_f (0 K)   -0.7637 eV/atom


[5]
Er2Pt3Au2: optimized geometry, GGA-PBE.

a b c (Å): 7.622 7.622 7.622
angles (deg): 36.59 36.59 36.59
Atoms (fractional coordinates):
1 Er 0.106 0.106 0.106
2 Er 0.894 0.894 0.894
3 Pt 0.241 0.241 0.241
4 Pt 0.500 0.500 0.500
5 Pt 0.759 0.759 0.759
6 Au 0.368 0.368 0.368
7 Au 0.632 0.632 0.632

ΔH_f (0 K)   -0.8299 eV/atom


[6]
ErPtAu: optimized geometry, GGA-PBE.

a b c (Å): 4.885 4.885 5.702
angles (deg): 90.00 90.00 117.88
Atoms (fractional coordinates):
1 Er 0.160 0.840 0.750
2 Er 0.840 0.160 0.250
3 Pt 0.181 0.819 0.250
4 Pt 0.819 0.181 0.750
5 Au 0.500 0.500 0.000
6 Au 0.500 0.500 0.500

E above lowest polymorph   0.0000 eV per atom
ΔH_f (0 K)   -0.9854 eV/atom


Look up the ΔH_f (0 K) of the second one.
-0.9487 eV/atom